Entry 1:
The following is a meta-GGA SCAN calculation of a crystal of Ba4Ta2O9 relaxed with PBEsol, from Alexandria via LeMat-Bulk.

```
Ba4Ta2O9
1.0
6.1877 0.0000 0.0000
-3.0938 5.3587 0.0000
0.0000 0.0000 15.5684
Ba Ta O
8 4 18
Direct
0.3333 0.6667 0.0327 Ba
0.3333 0.6667 0.2945 Ba
0.3333 0.6667 0.5327 Ba
0.3333 0.6667 0.7945 Ba
0.6667 0.3333 0.2055 Ba
0.6667 0.3333 0.4673 Ba
0.6667 0.3333 0.7055 Ba
0.6667 0.3333 0.9673 Ba
0.0000 0.0000 0.1512 Ta
0.0000 0.0000 0.3488 Ta
0.0000 0.0000 0.6512 Ta
0.0000 0.0000 0.8488 Ta
0.0000 0.2350 0.2500 O
0.0000 0.7650 0.7500 O
0.0455 0.2987 0.9045 O
0.0455 0.7468 0.4045 O
0.2350 0.0000 0.2500 O
0.2350 0.2350 0.7500 O
0.2532 0.2987 0.4045 O
0.2532 0.9545 0.9045 O
0.2987 0.0455 0.5955 O
0.2987 0.2532 0.0955 O
0.7013 0.7468 0.9045 O
0.7013 0.9545 0.4045 O
0.7468 0.0455 0.0955 O
0.7468 0.7013 0.5955 O
0.7650 0.0000 0.7500 O
0.7650 0.7650 0.2500 O
0.9545 0.2532 0.5955 O
0.9545 0.7013 0.0955 O
```

- space-group type = P-3c1 (165)
- ΔE to the lowest computed polymorph (eV per atom) = 0.094
- crystal system = trigonal


Entry 2:
The following is a meta-GGA SCAN calculation of a crystal of Ba2Ta6Te2O21 relaxed with PBEsol, from Alexandria via LeMat-Bulk.

```
Ba2Ta6Te2O21
1.0
8.3692 -2.8391 0.0000
8.3692 2.8391 0.0000
-1.1329 0.0000 9.5448
Ba Ta Te O
2 6 2 21
Direct
0.1382 0.1382 0.0307 Ba
0.8618 0.8618 0.9693 Ba
0.1001 0.1001 0.4196 Ta
0.3234 0.3234 0.3242 Ta
0.4786 0.4786 0.8364 Ta
0.5214 0.5214 0.1636 Ta
0.6766 0.6766 0.6758 Ta
0.8999 0.8999 0.5804 Ta
0.2750 0.2750 0.7461 Te
0.7250 0.7250 0.2539 Te
0.0000 0.0000 0.5000 O
0.0230 0.5417 0.1681 O
0.1005 0.6058 0.4462 O
0.1755 0.6911 0.7203 O
0.2087 0.2087 0.3451 O
0.2768 0.7232 0.0000 O
0.3089 0.8245 0.2797 O
0.3581 0.3581 0.8985 O
0.3942 0.8995 0.5538 O
0.4183 0.4183 0.2213 O
0.4583 0.9770 0.8319 O
0.5417 0.0230 0.1681 O
0.5817 0.5817 0.7787 O
0.6058 0.1005 0.4462 O
0.6419 0.6419 0.1015 O
0.6911 0.1755 0.7203 O
0.7232 0.2768 0.0000 O
0.7913 0.7913 0.6549 O
0.8245 0.3089 0.2797 O
0.8995 0.3942 0.5538 O
0.9770 0.4583 0.8319 O
```

- VASP energy (eV per atom) = -24.862
- space-group type = C2/m (12)
- crystal system = monoclinic


Entry 3:
The following is a meta-GGA SCAN calculation of a crystal of Ba3Ta4Ti4O21 relaxed with PBEsol, from Alexandria via LeMat-Bulk.

```
Ba3Ta4Ti4O21
1.0
7.8145 -4.5292 0.0000
7.8145 4.5292 0.0000
-0.0074 0.0000 11.7614
Ba Ta Ti O
6 8 8 42
Direct
0.0905 0.9095 0.7500 Ba
0.0952 0.5053 0.2500 Ba
0.4947 0.9048 0.2500 Ba
0.5053 0.0952 0.7500 Ba
0.9048 0.4947 0.7500 Ba
0.9095 0.0905 0.2500 Ba
0.1619 0.1699 0.4998 Ta
0.1699 0.1619 0.9998 Ta
0.2598 0.5020 0.9072 Ta
0.4980 0.7402 0.5928 Ta
0.5020 0.2598 0.4072 Ta
0.7402 0.4980 0.0928 Ta
0.8301 0.8381 0.0002 Ta
0.8381 0.8301 0.5002 Ta
0.2527 0.5025 0.5934 Ti
0.2540 0.7462 0.0961 Ti
0.2538 0.7460 0.4039 Ti
0.4975 0.7473 0.9066 Ti
0.5025 0.2527 0.0934 Ti
0.7462 0.2540 0.5961 Ti
0.7460 0.2538 0.9039 Ti
0.7473 0.4975 0.4066 Ti
0.0157 0.6683 0.8985 O
0.0186 0.6700 0.6031 O
0.0188 0.8096 0.3973 O
0.0196 0.8138 0.0984 O
0.1858 0.3314 0.8981 O
0.1863 0.3349 0.5979 O
0.1862 0.9804 0.4016 O
0.1904 0.9812 0.1027 O
0.2925 0.7075 0.2500 O
0.2940 0.7062 0.5739 O
0.2938 0.7060 0.9261 O
0.2967 0.5007 0.0753 O
0.2978 0.4998 0.4266 O
0.3004 0.5002 0.7479 O
0.3300 0.9814 0.8969 O
0.3314 0.1858 0.3981 O
0.3317 0.9843 0.6015 O
0.3349 0.1863 0.0979 O
0.4993 0.7033 0.4247 O
0.4998 0.2978 0.9266 O
0.5002 0.3004 0.2479 O
0.4998 0.6996 0.7521 O
0.5002 0.7022 0.0734 O
0.5007 0.2967 0.5753 O
0.6651 0.8137 0.9021 O
0.6683 0.0157 0.3985 O
0.6686 0.8142 0.6019 O
0.6700 0.0186 0.1031 O
0.6996 0.4998 0.2521 O
0.7022 0.5002 0.5734 O
0.7033 0.4993 0.9247 O
0.7062 0.2940 0.0739 O
0.7060 0.2938 0.4261 O
0.7075 0.2925 0.7500 O
0.8096 0.0188 0.8973 O
0.8138 0.0196 0.5984 O
0.8137 0.6651 0.4021 O
0.8142 0.6686 0.1019 O
0.9804 0.1862 0.9016 O
0.9812 0.1904 0.6027 O
0.9814 0.3300 0.3969 O
0.9843 0.3317 0.1015 O
```

- VASP energy (eV per atom) = -21.431
- space-group type = C2/c (15)
- crystal system = monoclinic


Entry 4:
The following is a meta-GGA SCAN calculation of a crystal of Ba6Ta9Ti7O42 relaxed with PBEsol, from Alexandria via LeMat-Bulk.

```
Ba6Ta9Ti7O42
1.0
4.5353 -7.8409 0.0000
4.5353 7.8409 0.0000
-0.0036 0.0000 11.8006
Ba Ta Ti O
6 9 7 42
Direct
0.0000 0.0000 0.0000 Ba
0.3960 0.9986 0.4941 Ba
0.4025 0.8089 0.9999 Ba
0.8089 0.4025 0.9999 Ba
0.8155 0.8155 0.4933 Ba
0.9986 0.3960 0.4941 Ba
0.0694 0.7385 0.2394 Ta
0.0710 0.7373 0.7362 Ta
0.1593 0.4028 0.8376 Ta
0.4016 0.6455 0.3357 Ta
0.4028 0.1593 0.8376 Ta
0.6455 0.4016 0.3357 Ta
0.6501 0.6501 0.8361 Ta
0.7373 0.0710 0.7362 Ta
0.7385 0.0694 0.2394 Ta
0.1553 0.1553 0.3337 Ti
0.1589 0.3992 0.1528 Ti
0.1643 0.1643 0.6426 Ti
0.3992 0.1589 0.1528 Ti
0.4047 0.6471 0.6477 Ti
0.6471 0.4047 0.6477 Ti
0.6466 0.6466 0.1490 Ti
0.0890 0.5730 0.8429 O
0.0902 0.9217 0.3420 O
0.0925 0.5712 0.1454 O
0.0933 0.9241 0.6421 O
0.1942 0.1942 0.4915 O
0.1997 0.4042 0.9950 O
0.2012 0.2012 0.8204 O
0.2012 0.4044 0.3192 O
0.2029 0.2029 0.1693 O
0.2046 0.4037 0.6684 O
0.2341 0.9226 0.1406 O
0.2354 0.9193 0.8432 O
0.2361 0.7151 0.6419 O
0.2357 0.7204 0.3448 O
0.4042 0.1997 0.9950 O
0.4044 0.2012 0.3192 O
0.4037 0.2046 0.6684 O
0.4039 0.6053 0.4945 O
0.4042 0.6073 0.8190 O
0.4048 0.6048 0.1684 O
0.5712 0.0925 0.1454 O
0.5717 0.8839 0.6421 O
0.5730 0.0890 0.8429 O
0.5726 0.8872 0.3439 O
0.6053 0.4039 0.4945 O
0.6048 0.4048 0.1684 O
0.6073 0.4042 0.8190 O
0.6068 0.6068 0.6683 O
0.6082 0.6082 0.3198 O
0.6075 0.6075 0.9939 O
0.7151 0.2361 0.6419 O
0.7146 0.8830 0.1421 O
0.7204 0.2357 0.3448 O
0.7197 0.8891 0.8434 O
0.8830 0.7146 0.1421 O
0.8839 0.5717 0.6421 O
0.8872 0.5726 0.3439 O
0.8891 0.7197 0.8434 O
0.9193 0.2354 0.8432 O
0.9217 0.0902 0.3420 O
0.9226 0.2341 0.1406 O
0.9241 0.0933 0.6421 O
```

- VASP energy (eV per atom) = -22.205
- space-group type = Cm (8)
- crystal system = monoclinic


Entry 5:
The following is a meta-GGA SCAN calculation of a crystal of Ba4Ta2TiZnO12 relaxed with PBEsol, from Alexandria via LeMat-Bulk.

```
Ba4Ta2TiZnO12
1.0
5.7328 0.0000 0.0000
0.0000 5.7328 0.0000
0.0000 0.0000 8.1341
Ba Ta Ti Zn O
4 2 1 1 12
Direct
0.0000 0.5000 0.2413 Ba
0.0000 0.5000 0.7587 Ba
0.5000 0.0000 0.2413 Ba
0.5000 0.0000 0.7587 Ba
0.0000 0.0000 0.0000 Ta
0.5000 0.5000 0.5000 Ta
0.0000 0.0000 0.5000 Ti
0.5000 0.5000 0.0000 Zn
0.0000 0.0000 0.2553 O
0.0000 0.0000 0.7447 O
0.2416 0.2416 0.0000 O
0.2416 0.7584 0.0000 O
0.2477 0.2477 0.5000 O
0.2477 0.7523 0.5000 O
0.5000 0.5000 0.2617 O
0.5000 0.5000 0.7383 O
0.7523 0.2477 0.5000 O
0.7523 0.7523 0.5000 O
0.7584 0.2416 0.0000 O
0.7584 0.7584 0.0000 O
```

- space-group type = P4/mmm (123)
- ΔE to the lowest computed polymorph (eV per atom) = 0.011
- crystal system = tetragonal


Entry 6:
The following is a meta-GGA SCAN calculation of a crystal of Ba4Ta2TiZnO12 relaxed with PBEsol, from Alexandria via LeMat-Bulk.

```
Ba4Ta2TiZnO12
1.0
-4.0484 4.0484 8.1676
4.0484 -4.0484 8.1676
4.0484 4.0484 -8.1676
Ba Ta Ti Zn O
8 4 2 2 24
Direct
0.0000 0.2429 0.2429 Ba
0.0000 0.7571 0.7571 Ba
0.2429 0.0000 0.7429 Ba
0.2429 0.5000 0.2429 Ba
0.5000 0.2429 0.7429 Ba
0.5000 0.7571 0.2571 Ba
0.7571 0.0000 0.2571 Ba
0.7571 0.5000 0.7571 Ba
0.1267 0.3766 0.7500 Ta
0.3766 0.1267 0.2500 Ta
0.6234 0.8734 0.7500 Ta
0.8734 0.6234 0.2500 Ta
0.3750 0.6250 0.7500 Ti
0.6250 0.3750 0.2500 Ti
0.1250 0.8750 0.2500 Zn
0.8750 0.1250 0.7500 Zn
0.0086 0.2586 0.7500 O
0.1240 0.6216 0.5024 O
0.1298 0.1383 0.5084 O
0.1298 0.6214 0.9916 O
0.1383 0.1298 0.0084 O
0.2545 0.5045 0.7500 O
0.2586 0.0086 0.2500 O
0.3784 0.3808 0.5024 O
0.3784 0.8760 0.9976 O
0.3786 0.8702 0.5084 O
0.3808 0.3784 0.0024 O
0.4955 0.7455 0.7500 O
0.5045 0.2545 0.2500 O
0.6192 0.6216 0.9976 O
0.6214 0.1298 0.4916 O
0.6216 0.1240 0.0024 O
0.6216 0.6192 0.4976 O
0.7415 0.9914 0.7500 O
0.7455 0.4955 0.2500 O
0.8617 0.8702 0.9916 O
0.8702 0.3786 0.0084 O
0.8702 0.8617 0.4916 O
0.8760 0.3784 0.4976 O
0.9914 0.7415 0.2500 O
```

- space-group type = I4_1/amd (141)
- ΔE to the lowest computed polymorph (eV per atom) = 0.000
- crystal system = tetragonal


Entry 7:
The following is a meta-GGA SCAN calculation of a crystal of Ba3Ta2ZnO9 relaxed with PBEsol, from Alexandria via LeMat-Bulk.

```
Ba3Ta2ZnO9
1.0
5.7721 0.0000 0.0000
-2.8860 4.9988 0.0000
0.0000 0.0000 7.1027
Ba Ta Zn O
3 2 1 9
Direct
0.0000 0.0000 0.0000 Ba
0.3333 0.6667 0.6608 Ba
0.6667 0.3333 0.3392 Ba
0.3333 0.6667 0.1748 Ta
0.6667 0.3333 0.8252 Ta
0.0000 0.0000 0.5000 Zn
0.0000 0.5000 0.0000 O
0.1718 0.3435 0.3238 O
0.1718 0.8282 0.3238 O
0.3435 0.1718 0.6762 O
0.5000 0.0000 0.0000 O
0.5000 0.5000 0.0000 O
0.6565 0.8282 0.3238 O
0.8282 0.1718 0.6762 O
0.8282 0.6565 0.6762 O
```

- VASP energy (eV per atom) = -24.496
- space-group type = P-3m1 (164)
- crystal system = trigonal


Entry 8:
The following is a meta-GGA SCAN calculation of a crystal of Ba3ZrTa4O15 relaxed with PBEsol, from Alexandria via LeMat-Bulk.

```
Ba3ZrTa4O15
1.0
12.6970 0.0000 0.0000
0.0000 12.6970 0.0000
0.0000 0.0000 3.9957
Ba Zr Ta O
6 2 8 30
Direct
0.0000 0.0000 0.0000 Ba
0.1690 0.3310 0.0000 Ba
0.3310 0.8310 0.0000 Ba
0.5000 0.5000 0.0000 Ba
0.6690 0.1690 0.0000 Ba
0.8310 0.6690 0.0000 Ba
0.0000 0.5000 0.5000 Zr
0.5000 0.0000 0.5000 Zr
0.0755 0.7870 0.5000 Ta
0.2130 0.0755 0.5000 Ta
0.2870 0.5755 0.5000 Ta
0.4245 0.2870 0.5000 Ta
0.5755 0.7130 0.5000 Ta
0.7130 0.4245 0.5000 Ta
0.7870 0.9245 0.5000 Ta
0.9245 0.2130 0.5000 Ta
0.0000 0.5000 0.0000 O
0.0107 0.3356 0.5000 O
0.0656 0.1381 0.5000 O
0.0828 0.7959 0.0000 O
0.1381 0.9344 0.5000 O
0.1644 0.4893 0.5000 O
0.2041 0.0828 0.0000 O
0.2177 0.7177 0.5000 O
0.2823 0.2177 0.5000 O
0.2959 0.5828 0.0000 O
0.3356 0.9893 0.5000 O
0.3619 0.4344 0.5000 O
0.4172 0.2959 0.0000 O
0.4344 0.6381 0.5000 O
0.4893 0.8356 0.5000 O
0.5000 0.0000 0.0000 O
0.5107 0.1644 0.5000 O
0.5656 0.3619 0.5000 O
0.5828 0.7041 0.0000 O
0.6381 0.5656 0.5000 O
0.6644 0.0107 0.5000 O
0.7041 0.4172 0.0000 O
0.7177 0.7823 0.5000 O
0.7823 0.2823 0.5000 O
0.7959 0.9172 0.0000 O
0.8356 0.5107 0.5000 O
0.8619 0.0656 0.5000 O
0.9172 0.2041 0.0000 O
0.9344 0.8619 0.5000 O
0.9893 0.6644 0.5000 O
```

- VASP energy (eV per atom) = -25.438
- space-group type = P4/mbm (127)
- crystal system = tetragonal


Entry 9:
The following is a meta-GGA SCAN calculation of a crystal of BaTb2O4 relaxed with PBEsol, from Alexandria via LeMat-Bulk.

```
BaTb2O4
1.0
10.3728 0.0000 0.0000
0.0000 3.4631 0.0000
0.0000 0.0000 12.0854
Ba Tb O
4 8 16
Direct
0.2477 0.2500 0.1492 Ba
0.2523 0.7500 0.6492 Ba
0.7477 0.2500 0.3508 Ba
0.7523 0.7500 0.8508 Ba
0.0760 0.2500 0.3892 Tb
0.0769 0.2500 0.8902 Tb
0.4231 0.7500 0.3902 Tb
0.4240 0.7500 0.8892 Tb
0.5760 0.2500 0.1108 Tb
0.5769 0.2500 0.6098 Tb
0.9231 0.7500 0.1098 Tb
0.9240 0.7500 0.6108 Tb
0.0175 0.7500 0.7823 O
0.0692 0.2500 0.5751 O
0.1170 0.7500 0.0176 O
0.2105 0.7500 0.3386 O
0.2895 0.2500 0.8386 O
0.3830 0.2500 0.5176 O
0.4308 0.7500 0.0751 O
0.4825 0.2500 0.2823 O
0.5175 0.7500 0.7177 O
0.5692 0.2500 0.9249 O
0.6170 0.7500 0.4824 O
0.7105 0.7500 0.1614 O
0.7895 0.2500 0.6614 O
0.8830 0.2500 0.9824 O
0.9308 0.7500 0.4249 O
0.9825 0.2500 0.2177 O
```

- VASP energy (eV per atom) = -26.156
- space-group type = Pnma (62)
- crystal system = orthorhombic


Entry 10:
The following is a meta-GGA SCAN calculation of a crystal of BaTc3O relaxed with PBEsol, from Alexandria via LeMat-Bulk.

```
BaTc3O
1.0
4.2857 0.0000 0.0000
0.0000 4.2857 0.0000
0.0000 0.0000 4.2857
Ba Tc O
1 3 1
Direct
0.0000 0.0000 0.0000 Ba
0.0000 0.5000 0.5000 Tc
0.5000 0.0000 0.5000 Tc
0.5000 0.5000 0.0000 Tc
0.5000 0.5000 0.5000 O
```

- VASP energy (eV per atom) = -29.347
- space-group type = Pm-3m (221)
- crystal system = cubic


Entry 11:
The following is a meta-GGA SCAN calculation of a crystal of BaTcO2 relaxed with PBEsol, from Alexandria via LeMat-Bulk.

```
BaTcO2
1.0
-2.4318 2.4318 5.7636
2.4318 -2.4318 5.7636
2.4318 2.4318 -5.7636
Ba Tc O
2 2 4
Direct
0.0000 0.0000 0.0000 Ba
0.7500 0.2500 0.5000 Ba
0.2500 0.7500 0.5000 Tc
0.5000 0.5000 0.0000 Tc
0.2779 0.6250 0.1529 O
0.3750 0.5279 0.6529 O
0.4721 0.1250 0.8471 O
0.8750 0.7221 0.3471 O
```

- VASP energy (eV per atom) = -23.174
- space-group type = I-42d (122)
- crystal system = tetragonal


Please write out number 9 again, unchanged.
The following is a meta-GGA SCAN calculation of a crystal of BaTb2O4 relaxed with PBEsol, from Alexandria via LeMat-Bulk.

```
BaTb2O4
1.0
10.3728 0.0000 0.0000
0.0000 3.4631 0.0000
0.0000 0.0000 12.0854
Ba Tb O
4 8 16
Direct
0.2477 0.2500 0.1492 Ba
0.2523 0.7500 0.6492 Ba
0.7477 0.2500 0.3508 Ba
0.7523 0.7500 0.8508 Ba
0.0760 0.2500 0.3892 Tb
0.0769 0.2500 0.8902 Tb
0.4231 0.7500 0.3902 Tb
0.4240 0.7500 0.8892 Tb
0.5760 0.2500 0.1108 Tb
0.5769 0.2500 0.6098 Tb
0.9231 0.7500 0.1098 Tb
0.9240 0.7500 0.6108 Tb
0.0175 0.7500 0.7823 O
0.0692 0.2500 0.5751 O
0.1170 0.7500 0.0176 O
0.2105 0.7500 0.3386 O
0.2895 0.2500 0.8386 O
0.3830 0.2500 0.5176 O
0.4308 0.7500 0.0751 O
0.4825 0.2500 0.2823 O
0.5175 0.7500 0.7177 O
0.5692 0.2500 0.9249 O
0.6170 0.7500 0.4824 O
0.7105 0.7500 0.1614 O
0.7895 0.2500 0.6614 O
0.8830 0.2500 0.9824 O
0.9308 0.7500 0.4249 O
0.9825 0.2500 0.2177 O
```

- VASP energy (eV per atom) = -26.156
- space-group type = Pnma (62)
- crystal system = orthorhombic